VASP calculation (GGA-PBE) on PmNd2YH after structural relaxation.

```
PmNd2YH
1.0
5.086 0.000 0.000
0.000 5.150 0.000
0.000 0.000 5.150
Pm Nd Y H
1 2 1 1
Direct
0.500 0.500 0.500
0.000 0.000 0.500
0.000 0.500 0.000
0.500 0.000 0.000
0.000 0.000 0.000
```

Calculated total energy (eV per cell): -24.97
Space group: P4/mmm (123)
Magnetic moment (μB/f.u.): 0.00
Mass density (g/cm3): 6.44



VASP calculation (GGA-PBE) on K3Sm3PuTe8 after structural relaxation.

```
K3Sm3PuTe8
1.0
9.041 0.000 0.000
-4.521 7.830 -0.030
0.000 -5.186 8.401
K Sm Pu Te
3 3 1 8
Direct
0.000 0.000 0.000
0.000 0.500 0.000
0.500 0.500 0.000
0.500 0.000 0.500
0.500 0.500 0.500
0.000 0.500 0.500
0.000 0.000 0.500
0.262 0.525 0.287
0.738 0.475 0.713
0.767 0.534 0.293
0.233 0.466 0.707
0.767 0.026 0.293
0.233 0.974 0.707
0.259 0.026 0.293
0.741 0.974 0.707
```

Calculated total energy (eV per cell): -76.01
Space group: R-3m (166)
Magnetic moment (μB/f.u.): 3.99
E_form (uncorrected) (meV/atom): -1273
Mass density (g/cm3): 5.13



VASP calculation (GGA-PBE) on SrMnS after structural relaxation.

```
SrMnS
1.0
-2.052 0.139 -3.438
1.260 -3.520 1.440
-24.048 -2.782 14.244
Sr S Mn
6 6 6
Direct
0.000 0.000 0.610
0.333 0.667 0.277
0.667 0.333 0.944
0.000 0.000 0.075
0.333 0.667 0.742
0.667 0.333 0.408
0.000 0.000 0.341
0.333 0.667 0.008
0.667 0.333 0.674
0.000 0.000 0.204
0.333 0.667 0.870
0.667 0.333 0.537
0.000 0.000 0.842
0.333 0.667 0.508
0.667 0.333 0.175
0.000 0.000 0.495
0.333 0.667 0.162
0.667 0.333 0.828
```

Calculated total energy (eV per cell): -105.07
Offset from the most stable computed form (eV per atom): 0.024
Space group: R3m (160)
Magnetic moment (μB/f.u.): 0.04
E_form (uncorrected) (meV/atom): -844
Mass density (g/cm3): 4.46



VASP calculation (GGA-PBE) on ScAl after structural relaxation.

```
ScAl
1.0
2.858 -4.950 0.000
2.858 4.950 0.000
0.000 0.000 4.793
Sc Al
3 3
Direct
0.000 0.000 0.000
0.333 0.667 0.500
0.667 0.333 0.500
0.500 0.000 0.000
0.000 0.500 0.000
0.500 0.500 0.000
```

Calculated total energy (eV per cell): -31.37
Space group: P6/mmm (191)
ΔE_f (eV/atom): -0.191
Magnetic moment (μB/f.u.): 0.00
Mass density (g/cm3): 2.64



VASP calculation (GGA-PBE) on SrLi2CeBr8 after structural relaxation.

```
SrLi2CeBr8
1.0
-6.704 -1.541 -1.333
1.320 -4.337 5.692
-2.449 4.411 7.489
Sr Li Ce Br
1 2 1 8
Direct
0.000 0.000 0.500
0.539 0.357 0.674
0.461 0.643 0.326
0.000 0.000 0.000
0.121 0.762 0.289
0.638 0.752 0.056
0.880 0.221 0.172
0.879 0.238 0.711
0.362 0.248 0.944
0.120 0.779 0.828
0.604 0.730 0.557
0.396 0.270 0.443
```

Calculated total energy (eV per cell): -44.93
Space group: P-1 (2)
Magnetic moment (μB/f.u.): 0.00
E_form (uncorrected) (meV/atom): -1675
Mass density (g/cm3): 3.41



VASP calculation (GGA-PBE) on Hf2Zn2Br after structural relaxation.

```
Hf2Zn2Br
1.0
7.866 0.000 0.000
0.000 7.866 0.000
0.000 0.000 3.234
Zn Hf Br
4 4 2
Direct
0.388 0.888 0.000
0.888 0.612 0.000
0.612 0.112 0.000
0.112 0.388 0.000
0.182 0.682 0.500
0.682 0.818 0.500
0.818 0.318 0.500
0.318 0.182 0.500
0.000 0.000 0.000
0.500 0.500 0.000
```

Calculated total energy (eV per cell): -46.40
Offset from the most stable computed form (eV per atom): 0.000
Space group: P4/mbm (127)
Magnetic moment (μB/f.u.): 0.00
E_form (uncorrected) (meV/atom): 185
Mass density (g/cm3): 9.42



VASP calculation (GGA-PBE) on HfCu2Pd9 after structural relaxation.

```
HfCu2Pd9
1.0
-0.316 -3.672 -1.428
3.604 0.310 -1.593
4.715 -4.235 9.844
Hf Cu Pd
1 2 9
Direct
0.000 0.000 0.000
0.000 0.000 0.340
0.000 0.000 0.660
0.500 0.500 0.000
0.500 0.500 0.336
0.500 0.500 0.664
0.500 0.000 0.171
0.500 0.000 0.500
0.500 0.000 0.829
0.000 0.500 0.171
0.000 0.500 0.500
0.000 0.500 0.829
```

Calculated total energy (eV per cell): -68.85
Space group: P4/mmm (123)
ΔE_f (eV/atom): -0.331
Magnetic moment (μB/f.u.): 0.00
Mass density (g/cm3): 11.47



VASP calculation (GGA-PBE) on Nd4MgSc after structural relaxation.

```
Nd4MgSc
1.0
-5.308 -0.227 -1.845
-3.430 -5.230 1.939
-4.105 4.475 2.688
Nd Mg Sc
4 1 1
Direct
0.641 0.675 0.043
0.359 0.325 0.957
0.152 0.194 0.502
0.848 0.806 0.498
0.500 0.500 0.500
0.000 0.000 0.000
```

Calculated total energy (eV per cell): -26.67
Offset from the most stable computed form (eV per atom): 0.056
Space group: C2/m (12)
ΔE_f (eV/atom): 0.055
Magnetic moment (μB/f.u.): 0.00
Mass density (g/cm3): 5.70